1.
A relaxed structure of Ce8Tc2Hg, computed with PBE.

Structure (POSCAR):
```
Ce8Tc2Hg
1.0
-2.6498 8.2279 3.1994
2.6498 -8.2279 3.1994
2.6498 8.2279 -3.1994
Ce Tc Hg
8 2 1
Cartesian
0.0000 0.0000 0.0000
2.6498 3.0649 0.7613
2.6498 6.6658 0.0612
0.0000 4.4756 1.2784
0.0000 1.5622 3.2606
0.0000 8.2279 1.9716
0.0000 11.9803 1.2784
0.0000 5.1631 3.9607
2.6498 -5.8329 2.3449
2.6498 5.8329 2.3449
2.6498 0.0000 2.0107
```

## Properties
SG: Imm2 (44)
Raw total energy (eV/atom): -6.317
ΔH_f (0 K) (meV/atom): -90

=====

2.
A relaxed structure of Cr4Pt3, computed with PBE.

Structure (POSCAR):
```
Cr4Pt3
1.0
5.2077 0.0000 0.0000
-2.6039 4.5100 0.0000
0.0000 0.0000 4.5008
Cr Pt
4 3
Cartesian
0.0000 0.0000 0.9406
0.0000 0.0000 3.5602
0.0000 3.0067 0.0000
2.6039 1.5033 0.0000
-1.3019 2.2550 2.2504
2.6039 0.0000 2.2504
1.3019 2.2550 2.2504
```

## Properties
SG: P6/mmm (191)
Raw total energy (eV/atom): -7.990
ΔH_f (0 K) (meV/atom): 97

=====

3.
A relaxed structure of SmY2S4, computed with PBE.

Structure (POSCAR):
```
SmY2S4
1.0
12.0515 0.0000 0.0000
0.0000 3.8712 0.0000
0.0000 0.0000 14.0414
Sm Y S
4 8 16
Cartesian
2.9650 0.9678 2.3536
3.0607 2.9034 9.3743
8.9907 0.9678 4.6671
9.0865 2.9034 11.6878
0.7619 2.9034 12.4414
1.1546 2.9034 5.7103
4.8712 0.9678 12.7310
5.2639 0.9678 5.4207
6.7876 2.9034 8.6207
7.1803 2.9034 1.3104
10.8969 0.9678 8.3311
11.2896 0.9678 1.6000
0.5453 0.9678 3.9672
1.1661 2.9034 1.0913
1.5700 0.9678 7.6505
2.4122 0.9678 11.4145
3.6135 2.9034 4.3938
4.4557 2.9034 0.6298
4.8596 0.9678 8.1119
5.4805 2.9034 10.9879
6.5710 0.9678 3.0535
7.1919 2.9034 5.9294
7.5958 0.9678 13.4116
8.4379 0.9678 9.6475
9.6393 2.9034 2.6269
10.4815 2.9034 6.3909
10.8853 0.9678 12.9501
11.5062 2.9034 10.0742
```

## Properties
SG: Pnma (62)
Raw total energy (eV/atom): -6.924

=====

4.
A relaxed structure of ScSb2TeC, computed with PBE.

Structure (POSCAR):
```
ScSb2TeC
1.0
5.4943 0.0000 0.0000
0.0000 5.4943 0.0000
0.0000 0.0000 5.3978
Sc Sb Te C
1 2 1 1
Cartesian
0.0000 0.0000 0.0000
0.0000 2.7471 0.0000
2.7471 0.0000 0.0000
0.0000 0.0000 2.6989
2.7471 2.7471 2.6989
```

## Properties
SG: P4/mmm (123)
Raw total energy (eV/atom): -3.947

=====

5.
A relaxed structure of Rb2ZnCrIr, computed with PBE.

Structure (POSCAR):
```
Rb2ZnCrIr
1.0
6.3965 0.0000 0.0000
0.0000 6.3965 0.0000
0.0000 0.0000 4.8618
Rb Zn Cr Ir
2 1 1 1
Cartesian
0.0000 3.1982 0.0000
3.1982 0.0000 0.0000
0.0000 0.0000 2.4309
3.1982 3.1982 2.4309
0.0000 0.0000 0.0000
```

## Properties
SG: P4/mmm (123)
Raw total energy (eV/atom): -3.280
ΔH_f (0 K) (meV/atom): 1059

=====

6.
A relaxed structure of BaSn2Te2, computed with PBE.

Structure (POSCAR):
```
BaSn2Te2
1.0
-2.2052 2.2052 9.0637
2.2052 -2.2052 9.0637
2.2052 2.2052 -9.0637
Ba Sn Te
1 2 2
Cartesian
0.0000 0.0000 0.0000
2.2052 0.0000 4.5318
0.0000 2.2052 4.5318
0.0000 0.0000 7.2158
0.0000 0.0000 10.9116
```

## Properties
SG: I4/mmm (139)
Raw total energy (eV/atom): -3.839

=====

Repeat the third record exactly.
A relaxed structure of SmY2S4, computed with PBE.

Structure (POSCAR):
```
SmY2S4
1.0
12.0515 0.0000 0.0000
0.0000 3.8712 0.0000
0.0000 0.0000 14.0414
Sm Y S
4 8 16
Cartesian
2.9650 0.9678 2.3536
3.0607 2.9034 9.3743
8.9907 0.9678 4.6671
9.0865 2.9034 11.6878
0.7619 2.9034 12.4414
1.1546 2.9034 5.7103
4.8712 0.9678 12.7310
5.2639 0.9678 5.4207
6.7876 2.9034 8.6207
7.1803 2.9034 1.3104
10.8969 0.9678 8.3311
11.2896 0.9678 1.6000
0.5453 0.9678 3.9672
1.1661 2.9034 1.0913
1.5700 0.9678 7.6505
2.4122 0.9678 11.4145
3.6135 2.9034 4.3938
4.4557 2.9034 0.6298
4.8596 0.9678 8.1119
5.4805 2.9034 10.9879
6.5710 0.9678 3.0535
7.1919 2.9034 5.9294
7.5958 0.9678 13.4116
8.4379 0.9678 9.6475
9.6393 2.9034 2.6269
10.4815 2.9034 6.3909
10.8853 0.9678 12.9501
11.5062 2.9034 10.0742
```

## Properties
SG: Pnma (62)
Raw total energy (eV/atom): -6.924

=====

The highest raw total energy belongs to which entry? Rb2ZnCrIr

=====

Look up the raw total energy of the first one. -6.317 eV/atom

=====

Which of these has the lowest raw total energy? Cr4Pt3